A plane-wave DFT calculation with PBE was carried out for crystalline ErOsPb2O6 at its relaxed geometry.

a = 5.869 Å, b = 5.862 Å, c = 8.271 Å
α = 90.00°, β = 90.35°, γ = 90.00°
Each line ends with the local moment (μB).
Element x y z (fractional)
Er 0.500 0.000 0.000  0.04
Er 0.000 0.500 0.500  0.04
Os 0.500 0.000 0.500  1.89
Os 0.000 0.500 0.000  1.89
Pb 0.009 0.976 0.248  0.04
Pb 0.509 0.524 0.748  0.04
Pb 0.991 0.024 0.752  0.04
Pb 0.491 0.476 0.252  0.04
O 0.263 0.707 0.040  0.10
O 0.763 0.793 0.540  0.10
O 0.737 0.293 0.960  0.10
O 0.237 0.207 0.460  0.10
O 0.297 0.733 0.462  0.10
O 0.797 0.767 0.962  0.10
O 0.703 0.267 0.538  0.10
O 0.203 0.233 0.038  0.10
O 0.929 0.512 0.234  0.10
O 0.429 0.988 0.734  0.10
O 0.071 0.488 0.766  0.10
O 0.571 0.012 0.266  0.10

Properties
Formation energy without anion corrections in eV per atom: -1.684

---

A plane-wave DFT calculation with PBE was carried out for crystalline ErOs2PbO8 at its relaxed geometry.

a = 5.991 Å, b = 5.991 Å, c = 7.105 Å
α = 90.00°, β = 90.00°, γ = 120.00°
Each line ends with the local moment (μB).
Element x y z (fractional)
Er 0.000 0.000 0.500  -0.05
Os 0.667 0.333 0.226  -0.85
Os 0.333 0.667 0.774  -0.85
Pb 0.000 0.000 0.000  -0.03
O 0.333 0.667 0.026  -0.19
O 0.325 0.163 0.295  -0.09
O 0.837 0.162 0.295  -0.09
O 0.667 0.333 0.974  -0.19
O 0.163 0.838 0.705  -0.09
O 0.675 0.837 0.705  -0.09
O 0.162 0.325 0.705  -0.09
O 0.838 0.675 0.295  -0.09

Properties
Formation energy without anion corrections in eV per atom: -1.319

---

A plane-wave DFT calculation with PBE was carried out for crystalline Pm2ErOsO8 at its relaxed geometry.

a = 5.136 Å, b = 5.133 Å, c = 6.863 Å
α = 90.00°, β = 90.00°, γ = 90.69°
Each line ends with the local moment (μB).
Element x y z (fractional)
Pm 0.500 0.500 0.748  0.01
Pm 0.500 0.500 0.252  0.01
Er 0.000 0.000 0.500  0.05
Os 0.000 0.000 0.000  0.69
O 0.178 0.822 0.211  0.06
O 0.742 0.742 0.000  -0.01
O 0.823 0.178 0.211  0.06
O 0.822 0.178 0.789  0.06
O 0.258 0.258 0.000  -0.01
O 0.177 0.822 0.789  0.06
O 0.698 0.699 0.500  0.00
O 0.302 0.301 0.500  0.00

Properties
Formation energy without anion corrections in eV per atom: -2.466

---

A plane-wave DFT calculation with PBE was carried out for crystalline PmEr2OsO8 at its relaxed geometry.

a = 5.040 Å, b = 5.034 Å, c = 6.823 Å
α = 90.00°, β = 90.00°, γ = 89.65°
Each line ends with the local moment (μB).
Element x y z (fractional)
Pm 0.000 0.000 0.500  0.02
Er 0.500 0.500 0.747  0.03
Er 0.500 0.500 0.253  0.03
Os 0.000 0.000 0.000  0.69
O 0.186 0.812 0.205  0.06
O 0.735 0.736 0.000  0.00
O 0.814 0.188 0.205  0.06
O 0.814 0.188 0.795  0.06
O 0.265 0.264 0.000  0.00
O 0.186 0.812 0.795  0.06
O 0.684 0.686 0.500  0.00
O 0.316 0.314 0.500  0.00

Properties
Formation energy without anion corrections in eV per atom: -2.526

---

A plane-wave DFT calculation with PBE was carried out for crystalline PrErOsO6 at its relaxed geometry.

a = 5.509 Å, b = 5.509 Å, c = 10.045 Å
α = 90.00°, β = 90.00°, γ = 120.00°
Each line ends with the local moment (μB).
Element x y z (fractional)
Pr 0.000 0.000 0.000  0.04
Pr 0.000 0.000 0.500  0.04
Er 0.333 0.667 0.250  0.04
Er 0.667 0.333 0.750  0.04
Os 0.667 0.333 0.250  1.32
Os 0.333 0.667 0.750  1.32
O 0.662 0.623 0.140  0.07
O 0.960 0.338 0.140  0.07
O 0.338 0.960 0.640  0.07
O 0.040 0.662 0.860  0.07
O 0.377 0.338 0.360  0.07
O 0.960 0.623 0.360  0.07
O 0.623 0.960 0.860  0.07
O 0.662 0.040 0.360  0.07
O 0.040 0.377 0.640  0.07
O 0.377 0.040 0.140  0.07
O 0.623 0.662 0.640  0.07
O 0.338 0.377 0.860  0.07

Properties
Formation energy without anion corrections in eV per atom: -2.351

---

A plane-wave DFT calculation with PBE was carried out for crystalline PrEr2OsO8 at its relaxed geometry.

a = 5.054 Å, b = 5.055 Å, c = 6.873 Å
α = 90.00°, β = 90.00°, γ = 89.25°
Each line ends with the local moment (μB).
Element x y z (fractional)
Pr 0.000 0.000 0.500  0.01
Er 0.500 0.500 0.747  0.03
Er 0.500 0.500 0.253  0.03
Os 0.000 0.000 0.000  0.69
O 0.188 0.812 0.202  0.05
O 0.737 0.737 0.000  0.00
O 0.812 0.188 0.202  0.05
O 0.812 0.188 0.798  0.05
O 0.263 0.263 0.000  0.00
O 0.188 0.812 0.798  0.05
O 0.682 0.682 0.500  0.00
O 0.318 0.318 0.500  0.00

Properties
Formation energy without anion corrections in eV per atom: -2.504

---

A plane-wave DFT calculation with PBE was carried out for crystalline RbEr2OsO8 at its relaxed geometry.

a = 5.174 Å, b = 4.601 Å, c = 7.376 Å
α = 87.52°, β = 89.46°, γ = 90.70°
Element x y z (fractional)
Rb 0.000 0.000 0.500
Er 0.499 0.492 0.762
Er 0.501 0.508 0.238
Os 0.000 0.000 0.000
O 0.135 0.757 0.183
O 0.698 0.747 0.989
O 0.832 0.213 0.171
O 0.865 0.243 0.817
O 0.302 0.253 0.011
O 0.168 0.787 0.829
O 0.517 0.737 0.497
O 0.483 0.263 0.503

Properties
Formation energy without anion corrections in eV per atom: -1.928

---

A plane-wave DFT calculation with PBE was carried out for crystalline Rb3Er3OsO8 at its relaxed geometry.

a = 6.752 Å, b = 6.753 Å, c = 7.637 Å
α = 116.24°, β = 90.00°, γ = 119.99°
Each line ends with the local moment (μB).
Element x y z (fractional)
Rb 0.000 0.000 0.000  0.00
Rb 0.000 0.500 0.000  0.00
Rb 0.500 0.500 0.000  0.00
Er 0.500 0.000 0.500  0.02
Er 0.500 0.500 0.500  0.02
Er 0.000 0.500 0.500  0.02
Os 0.000 0.000 0.500  1.45
O 0.276 0.552 0.329  0.00
O 0.724 0.448 0.671  0.00
O 0.791 0.581 0.337  0.07
O 0.209 0.419 0.663  0.07
O 0.791 0.046 0.337  0.07
O 0.209 0.954 0.663  0.07
O 0.256 0.046 0.337  0.07
O 0.744 0.954 0.663  0.07

Properties
Formation energy without anion corrections in eV per atom: -2.337

---

A plane-wave DFT calculation with PBE was carried out for crystalline RbErOs2O8 at its relaxed geometry.

a = 5.987 Å, b = 5.987 Å, c = 7.985 Å
α = 90.00°, β = 90.00°, γ = 120.00°
Each line ends with the local moment (μB).
Element x y z (fractional)
Rb 0.000 0.000 0.000  0.00
Er 0.000 0.000 0.500  0.10
Os 0.667 0.333 0.250  1.10
Os 0.333 0.667 0.750  1.10
O 0.333 0.667 0.972  0.19
O 0.337 0.176 0.328  0.15
O 0.824 0.161 0.328  0.15
O 0.667 0.333 0.028  0.19
O 0.176 0.839 0.672  0.15
O 0.663 0.824 0.672  0.15
O 0.161 0.337 0.672  0.15
O 0.839 0.663 0.328  0.15

Properties
Formation energy without anion corrections in eV per atom: -1.558

---

A plane-wave DFT calculation with PBE was carried out for crystalline RbErOsO6 at its relaxed geometry.

a = 5.606 Å, b = 5.606 Å, c = 6.156 Å
α = 90.00°, β = 90.00°, γ = 60.00°
Element x y z (fractional)
Rb 0.000 0.000 0.000
Er 0.667 0.667 0.500
Os 0.333 0.333 0.500
O 0.046 0.365 0.323
O 0.365 0.046 0.677
O 0.589 0.365 0.677
O 0.046 0.589 0.677
O 0.365 0.589 0.323
O 0.589 0.046 0.323

Properties
Formation energy without anion corrections in eV per atom: -1.798

---

A plane-wave DFT calculation with PBE was carried out for crystalline ErScOsO6 at its relaxed geometry.

a = 5.269 Å, b = 5.269 Å, c = 9.612 Å
α = 90.00°, β = 90.00°, γ = 120.00°
Each line ends with the local moment (μB).
Element x y z (fractional)
Er 0.000 0.000 0.000  0.08
Er 0.000 0.000 0.500  0.08
Sc 0.333 0.667 0.250  0.03
Sc 0.667 0.333 0.750  0.03
Os 0.667 0.333 0.250  1.34
Os 0.333 0.667 0.750  1.34
O 0.661 0.636 0.137  0.07
O 0.976 0.339 0.137  0.07
O 0.339 0.976 0.637  0.07
O 0.024 0.661 0.863  0.07
O 0.364 0.339 0.363  0.07
O 0.976 0.636 0.363  0.07
O 0.636 0.976 0.863  0.07
O 0.661 0.024 0.363  0.07
O 0.024 0.364 0.637  0.07
O 0.364 0.024 0.137  0.07
O 0.636 0.661 0.637  0.07
O 0.339 0.364 0.863  0.07

Properties
Formation energy without anion corrections in eV per atom: -2.392

---

A plane-wave DFT calculation with PBE was carried out for crystalline SmErOsO6 at its relaxed geometry.

a = 5.485 Å, b = 5.485 Å, c = 9.797 Å
α = 90.00°, β = 90.00°, γ = 120.00°
Each line ends with the local moment (μB).
Element x y z (fractional)
Sm 0.000 0.000 0.000  0.05
Sm 0.000 0.000 0.500  0.05
Er 0.333 0.667 0.250  0.04
Er 0.667 0.333 0.750  0.04
Os 0.667 0.333 0.250  1.32
Os 0.333 0.667 0.750  1.32
O 0.667 0.627 0.138  0.07
O 0.960 0.333 0.138  0.07
O 0.333 0.960 0.638  0.07
O 0.040 0.667 0.862  0.07
O 0.373 0.333 0.362  0.07
O 0.960 0.627 0.362  0.07
O 0.627 0.960 0.862  0.07
O 0.667 0.040 0.362  0.07
O 0.040 0.373 0.638  0.07
O 0.373 0.040 0.138  0.07
O 0.627 0.667 0.638  0.07
O 0.333 0.373 0.862  0.07

Properties
Formation energy without anion corrections in eV per atom: -2.369